[1]
CsHf4Se8: optimized geometry, PBE.

abc: 7.5171 7.5171 27.2198
angles: 90.00 90.00 120.00
Space group R-3m (No. 166, hexagonal axes)
Inequivalent atoms, fractional coordinates:
Cs (0.0000, 0.0000, 0.0000) [3 per cell]
Hf (0.0000, 0.0000, 0.5000) [3 per cell]
Hf (0.0000, 0.5000, 0.5000) [9 per cell]
Se (0.0000, 0.0000, 0.2251) [6 per cell]
Se (0.0018, 0.5009, 0.2252) [18 per cell]

Computed properties:
Total magnetization: 0.0 μB/cell
N(E_F): 8.341 states/eV per cell
Formation energy from raw total energies: -137 kJ/mol of atoms

***

[2]
ZrW3I: optimized geometry, PBE.

abc: 4.845 4.845 4.845
angles: 90.00 90.00 90.00
Space group Pm-3m (No. 221)
Inequivalent atoms, fractional coordinates:
Zr (0.000, 0.000, 0.000) [1 per cell]
W (0.000, 0.500, 0.500) [3 per cell]
I (0.500, 0.500, 0.500) [1 per cell]

Computed properties:
Total magnetization: 0.0 μB/cell
N(E_F): 10.201 states/eV per cell
Formation energy from raw total energies: 228 kJ/mol of atoms

***

[3]
CeNd2ErS6: optimized geometry, PBE.

abc: 7.1156 7.1156 18.7748
angles: 90.00 90.00 120.00
Space group R3 (No. 146, hexagonal axes)
Inequivalent atoms, fractional coordinates:
Ce (0.0000, 0.0000, 0.0000) [3 per cell]
Nd (0.0000, 0.0000, 0.2911) [3 per cell]
Nd (0.0000, 0.0000, 0.7939) [3 per cell]
Er (0.0000, 0.0000, 0.4965) [3 per cell]
S (0.0411, 0.3550, 0.5645) [9 per cell]
S (0.0450, 0.6712, 0.0661) [9 per cell]

Computed properties:
Total magnetization: 3.1 μB/cell
N(E_F): 14.913 states/eV per cell
Formation energy from raw total energies: -193 kJ/mol of atoms

***

[4]
CsCdSn3: optimized geometry, PBE.

abc: 5.223 5.223 12.241
angles: 90.00 90.00 90.00
Space group I4mm (No. 107)
Inequivalent atoms, fractional coordinates:
Cs (0.000, 0.000, 0.000) [2 per cell]
Cd (0.000, 0.000, 0.375) [2 per cell]
Sn (0.000, 0.000, 0.618) [2 per cell]
Sn (0.000, 0.500, 0.252) [4 per cell]

Computed properties:
Energy of formation: -0.81 eV/f.u.
Total magnetization: 0.0 μB/cell
N(E_F): 5.000 states/eV per cell

***

[5]
PmSn4Au4: optimized geometry, PBE.

abc: 7.382 7.382 8.426
angles: 90.00 90.00 90.00
Space group P4_2/nmc (No. 137, origin choice 2)
Inequivalent atoms, fractional coordinates:
Pm (0.250, 0.750, 0.250) [2 per cell]
Sn (0.020, 0.250, 0.128) [8 per cell]
Au (0.011, 0.250, 0.463) [8 per cell]

Computed properties:
Energy of formation: -2.23 eV/f.u.
Total magnetization: 0.0 μB/cell
N(E_F): 13.124 states/eV per cell

***

[6]
GePd2I2: optimized geometry, PBE.

abc: 7.298 7.298 5.030
angles: 90.00 90.00 90.00
Space group P4/mbm (No. 127)
Inequivalent atoms, fractional coordinates:
Ge (0.000, 0.000, 0.000) [2 per cell]
Pd (0.240, 0.260, 0.000) [4 per cell]
I (0.179, 0.679, 0.500) [4 per cell]

Computed properties:
Total magnetization: 0.0 μB/cell
N(E_F): 0.951 states/eV per cell
Formation energy from raw total energies: 5 kJ/mol of atoms

***

[7]
BeCdCl2: optimized geometry, PBE.

abc: 12.379 3.029 6.156
angles: 90.00 114.86 90.00
Space group Cm (No. 8)
Inequivalent atoms, fractional coordinates:
Be (0.000, 0.000, 0.000) [2 per cell]
Cd (0.193, 0.500, 0.412) [2 per cell]
Cl (0.059, 0.500, 0.833) [2 per cell]
Cl (0.410, 0.000, 0.099) [2 per cell]

Computed properties:
Total magnetization: 0.0 μB/cell
Formation energy from raw total energies: -64 kJ/mol of atoms

***

[8]
BaSr2I: optimized geometry, PBE.

abc: 4.157 4.157 11.422
angles: 90.00 90.00 90.00
Space group P4/mmm (No. 123)
Inequivalent atoms, fractional coordinates:
Ba (0.000, 0.000, 0.000) [1 per cell]
Sr (0.500, 0.500, 0.288) [2 per cell]
I (0.000, 0.000, 0.500) [1 per cell]

Computed properties:
Total magnetization: 0.0 μB/cell
N(E_F): 3.731 states/eV per cell
Formation energy from raw total energies: -52 kJ/mol of atoms

***

[9]
La2Nd3Sm6Al: optimized geometry, PBE.

abc: 6.215 10.773 11.933
angles: 90.00 100.10 90.00
Space group C2/m (No. 12)
Inequivalent atoms, fractional coordinates:
La (0.000, 0.166, 0.000) [4 per cell]
Nd (0.000, 0.000, 0.500) [2 per cell]
Nd (0.000, 0.331, 0.500) [4 per cell]
Sm (0.240, 0.500, 0.754) [4 per cell]
Sm (0.242, 0.339, 0.245) [8 per cell]
Al (0.000, 0.500, 0.000) [2 per cell]

Computed properties:
Energy of formation: -0.23 eV/f.u.
Total magnetization: 0.0 μB/cell
N(E_F): 32.281 states/eV per cell

***

[10]
Sc3TiIn: optimized geometry, PBE.

abc: 5.003 5.003 5.003
angles: 90.00 90.00 90.00
Space group Pm-3m (No. 221)
Inequivalent atoms, fractional coordinates:
Sc (0.000, 0.000, 0.500) [3 per cell]
Ti (0.000, 0.000, 0.000) [1 per cell]
In (0.500, 0.500, 0.500) [1 per cell]

Computed properties:
Energy of formation: 2.37 eV/f.u.
Total magnetization: 0.0 μB/cell
N(E_F): 6.148 states/eV per cell

***

[11]
MnCrCl2: optimized geometry, PBE.

abc: 3.203 3.299 17.611
angles: 90.00 90.00 90.00
Space group Imm2 (No. 44)
Inequivalent atoms, fractional coordinates:
Mn (0.000, 0.000, 0.000) [2 per cell]
Cr (0.000, 0.500, 0.355) [2 per cell]
Cl (0.000, 0.000, 0.571) [2 per cell]
Cl (0.000, 0.500, 0.786) [2 per cell]

Computed properties:
Total magnetization: 17.5 μB/cell
N(E_F): 10.697 states/eV per cell
Formation energy from raw total energies: -6 kJ/mol of atoms

***

[12]
PmDy9Er2: optimized geometry, PBE.

abc: 5.012 5.012 15.051
angles: 90.00 90.00 90.00
Space group P4/mmm (No. 123)
Inequivalent atoms, fractional coordinates:
Pm (0.000, 0.000, 0.000) [1 per cell]
Dy (0.000, 0.500, 0.169) [4 per cell]
Dy (0.000, 0.500, 0.500) [2 per cell]
Dy (0.500, 0.500, 0.000) [1 per cell]
Dy (0.500, 0.500, 0.335) [2 per cell]
Er (0.000, 0.000, 0.334) [2 per cell]

Computed properties:
Energy of formation: 0.26 eV/f.u.
Total magnetization: 0.0 μB/cell
N(E_F): 18.184 states/eV per cell

***

[13]
Li2BeAg: optimized geometry, PBE.

abc: 2.752 3.846 5.283
angles: 90.00 90.00 90.00
Space group Pmmm (No. 47)
Inequivalent atoms, fractional coordinates:
Li (0.000, 0.000, 0.235) [2 per cell]
Be (0.500, 0.500, 0.000) [1 per cell]
Ag (0.500, 0.500, 0.500) [1 per cell]

Computed properties:
Energy of formation: 0.43 eV/f.u.
Total magnetization: 0.0 μB/cell
N(E_F): 1.312 states/eV per cell

***

Density
In order: 5530, 11240, 4770, 5981, 10181, 6686, 3049, 3697, 6923, 3946, 3174, 8530, 3883
Unit: kg/m³
E_tot
In order: -86.98, -37.15, -64.76, -14.58, -36.10, -17.84, -11.00, -8.97, -56.45, -27.25, -22.73, -55.04, -9.98
Unit: eV/f.u.